[1]
Entry from the Alexandria database: an optimized crystal structure of Tl5Se3 (GGA-PBEsol).

Calculated values
Total magnetization (Bohr magnetons per cell): 0.000
Crystal system: tetragonal
Energy above the lowest structure with this stoichiometry (eV per formula unit): 0.43
Formation energy (no corrections) (eV per atom): -0.26

Lattice parameters (Å, degrees): 6.099 9.036 9.036 83.46 70.28 70.28
Sites, in units of the cell vectors:
Tl: 0.585 0.134 0.696
Tl: 0.915 0.304 0.866
Tl: 0.250 0.500 0.500
Se: 0.250 0.000 0.000
Se: 0.658 0.500 0.184
Tl: 0.719 0.696 0.866
Se: 0.158 0.184 0.500
Se: 0.342 0.500 0.816
Tl: 0.281 0.304 0.134
Tl: 0.085 0.696 0.134
Se: 0.842 0.816 0.500
Tl: 0.415 0.866 0.304
Tl: 0.781 0.134 0.304
Tl: 0.750 0.500 0.500
Tl: 0.219 0.866 0.696
Se: 0.750 0.000 0.000



[2]
Entry from the Alexandria database: an optimized crystal structure of La3Te (GGA-PBEsol).

Calculated values
Total magnetization (Bohr magnetons per cell): 0.001
Crystal system: monoclinic
Energy above the lowest structure with this stoichiometry (eV per formula unit): 0.53
Formation energy (no corrections) (eV per atom): -0.65

Lattice parameters (Å, degrees): 3.810 5.667 6.165 101.22 108.00 90.00
Sites, in units of the cell vectors:
La: 0.500 0.500 0.000
La: 0.273 0.778 0.547
La: 0.727 0.222 0.453
Te: 0.000 0.000 0.000



[3]
Entry from the Alexandria database: an optimized crystal structure of Sr2Li2Mg (GGA-PBEsol).

Calculated values
Total magnetization (Bohr magnetons per cell): 0.000
Crystal system: tetragonal
Formation energy from the elements (eV/atom): 0.027
Energy above the lowest structure with this stoichiometry (eV per formula unit): 0.00

Lattice parameters (Å, degrees): 4.916 8.222 8.222 90.00 90.00 90.00
Sites, in units of the cell vectors:
Mg: 0.000 0.500 0.500
Sr: 0.500 0.182 0.682
Li: 0.000 0.377 0.877
Li: 0.000 0.123 0.377
Sr: 0.500 0.318 0.182
Li: 0.000 0.623 0.123
Li: 0.000 0.877 0.623
Sr: 0.500 0.682 0.818
Mg: 0.000 0.000 0.000
Sr: 0.500 0.818 0.318



[4]
Entry from the Alexandria database: an optimized crystal structure of Lu2Si9B36C (GGA-PBEsol).

Calculated values
Total magnetization (Bohr magnetons per cell): 0.000
Crystal system: monoclinic
Formation energy (no corrections) (eV per atom): -0.22

Lattice parameters (Å, degrees): 7.943 7.987 7.987 101.94 101.90 78.10
Sites, in units of the cell vectors:
B: 0.177 0.578 0.107
Si: 0.745 0.344 0.265
C: 0.066 0.068 0.932
B: 0.555 0.126 0.874
Si: 0.338 0.738 0.262
B: 0.201 0.022 0.628
B: 0.625 0.982 0.199
B: 0.017 0.276 0.982
B: 0.108 0.825 0.589
B: 0.108 0.411 0.175
B: 0.827 0.412 0.891
B: 0.274 0.017 0.983
Si: 0.574 0.574 0.426
B: 0.877 0.437 0.121
B: 0.981 0.798 0.375
Si: 0.658 0.264 0.736
B: 0.372 0.201 0.979
B: 0.023 0.204 0.629
Si: 0.256 0.266 0.347
B: 0.802 0.982 0.375
B: 0.894 0.580 0.820
Si: 0.256 0.653 0.734
B: 0.410 0.110 0.177
Lu: 0.500 0.999 0.500
B: 0.981 0.625 0.202
B: 0.704 0.994 0.006
B: 0.994 0.994 0.297
B: 0.201 0.372 0.978
Si: 0.745 0.735 0.656
B: 0.994 0.703 0.006
B: 0.372 0.021 0.799
B: 0.435 0.878 0.122
B: 0.827 0.109 0.588
Si: 0.958 0.955 0.045
B: 0.127 0.126 0.446
B: 0.581 0.891 0.819
B: 0.625 0.801 0.018
B: 0.127 0.554 0.874
B: 0.802 0.625 0.018
Si: 0.429 0.431 0.569
B: 0.410 0.823 0.890
B: 0.894 0.180 0.420
B: 0.177 0.893 0.422
B: 0.581 0.181 0.109
B: 0.023 0.371 0.796
B: 0.017 0.018 0.724
B: 0.877 0.879 0.563
Lu: 0.500 0.500 0.001



[5]
Entry from the Alexandria database: an optimized crystal structure of Ba2NaLi2 (GGA-PBEsol).

Calculated values
Total magnetization (Bohr magnetons per cell): 0.000
Crystal system: tetragonal
Formation energy from the elements (eV/atom): 0.090
Energy above the lowest structure with this stoichiometry (eV per formula unit): 0.21

Lattice parameters (Å, degrees): 4.138 4.138 12.047 99.89 99.89 90.00
Sites, in units of the cell vectors:
Li: 0.250 0.750 0.500
Ba: 0.382 0.382 0.763
Li: 0.750 0.250 0.500
Na: 0.000 0.000 0.000
Ba: 0.618 0.618 0.237



[6]
Entry from the Alexandria database: an optimized crystal structure of LaTaTl2 (GGA-PBEsol).

Calculated values
Total magnetization (Bohr magnetons per cell): 0.000
Crystal system: monoclinic
Formation energy from the elements (eV/atom): 0.236

Lattice parameters (Å, degrees): 3.233 5.515 5.825 100.85 90.00 107.04
Sites, in units of the cell vectors:
Tl: 0.238 0.476 0.219
La: 0.000 0.000 0.500
Tl: 0.762 0.524 0.781
Ta: 0.500 0.000 0.000



[7]
Entry from the Alexandria database: an optimized crystal structure of TeRu2Pt (GGA-PBEsol).

Calculated values
Total magnetization (Bohr magnetons per cell): 0.000
Crystal system: tetragonal
Formation energy (no corrections) (eV per atom): 0.21

Lattice parameters (Å, degrees): 3.734 4.049 4.049 90.00 90.00 90.00
Sites, in units of the cell vectors:
Ru: 0.000 0.000 0.500
Ru: 0.000 0.500 0.000
Te: 0.500 0.500 0.500
Pt: 0.500 0.000 0.000



[8]
Entry from the Alexandria database: an optimized crystal structure of NaCN2 (GGA-PBEsol).

Calculated values
Total magnetization (Bohr magnetons per cell): 1.007
Crystal system: trigonal
Formation energy (no corrections) (eV per atom): 0.04

Lattice parameters (Å, degrees): 3.376 3.376 5.776 73.01 73.01 60.00
Last column: magnetic moment on the atom in μB.
Sites, in units of the cell vectors:
N: 0.925 0.925 0.226  0.39
N: 0.075 0.075 0.774  0.39
C: 0.000 0.000 0.000  -0.07
Na: 0.500 0.500 0.500  0.00



[9]
Entry from the Alexandria database: an optimized crystal structure of YHgRh2 (GGA-PBEsol).

Calculated values
Total magnetization (Bohr magnetons per cell): 0.000
Crystal system: tetragonal
Formation energy from the elements (eV/atom): -0.543

Lattice parameters (Å, degrees): 3.725 4.304 4.304 90.00 90.00 90.00
Sites, in units of the cell vectors:
Rh: 0.000 0.000 0.500
Hg: 0.500 0.000 0.000
Rh: 0.000 0.500 0.000
Y: 0.500 0.500 0.500



[10]
Entry from the Alexandria database: an optimized crystal structure of KSrNb2Tc (GGA-PBEsol).

Calculated values
Total magnetization (Bohr magnetons per cell): 1.200
Crystal system: tetragonal
Formation energy from the elements (eV/atom): 2.854

Lattice parameters (Å, degrees): 4.941 4.941 5.097 90.00 90.00 90.00
Last column: magnetic moment on the atom in μB.
Sites, in units of the cell vectors:
Nb: 0.500 0.000 0.000  -0.63
Sr: 0.000 0.000 0.000  -0.02
K: 0.000 0.000 0.500  -0.01
Nb: 0.000 0.500 0.000  -0.63
Tc: 0.500 0.500 0.500  2.61



[11]
Entry from the Alexandria database: an optimized crystal structure of NaCdN2 (GGA-PBEsol).

Calculated values
Total magnetization (Bohr magnetons per cell): 6.003
Crystal system: tetragonal
Formation energy (no corrections) (eV per atom): 1.23

Lattice parameters (Å, degrees): 5.026 5.026 6.694 112.05 112.05 90.00
Last column: magnetic moment on the atom in μB.
Sites, in units of the cell vectors:
N: 0.333 0.875 0.250  0.99
Na: 0.500 0.500 0.000  0.02
Cd: 0.000 0.000 0.000  0.13
Cd: 0.250 0.750 0.500  0.13
Na: 0.750 0.250 0.500  0.02
N: 0.625 0.667 0.750  0.99
N: 0.917 0.375 0.250  0.99
N: 0.125 0.083 0.750  0.99



[12]
Entry from the Alexandria database: an optimized crystal structure of FeTc2Cl (GGA-PBEsol).

Calculated values
Total magnetization (Bohr magnetons per cell): 3.122
Crystal system: orthorhombic
Formation energy (no corrections) (eV per atom): 0.45

Lattice parameters (Å, degrees): 2.754 2.754 8.344 90.00 90.00 116.51
Last column: magnetic moment on the atom in μB.
Sites, in units of the cell vectors:
Tc: 0.500 0.500 0.757  -0.01
Fe: 0.500 0.500 0.256  2.83
Tc: 0.000 0.000 0.005  0.15
Cl: 0.000 0.000 0.482  0.11